Record 1
## Zr6CuPd2 (PBE-GGA)

Data for crystalline Zr6CuPd2 at its relaxed geometry.

POSCAR file:
```
Zr6CuPd2
1.0
5.828 0.000 0.000
0.000 7.401 0.000
-5.061 0.000 8.680
Zr Cu Pd
12 2 4
Direct
0.064 0.056 0.241
0.064 0.444 0.741
0.202 0.736 0.068
0.202 0.764 0.568
0.393 0.151 0.044
0.393 0.349 0.544
0.607 0.651 0.456
0.607 0.849 0.956
0.798 0.236 0.432
0.798 0.264 0.932
0.936 0.556 0.259
0.936 0.944 0.759
0.500 0.000 0.500
0.500 0.500 0.000
0.321 0.094 0.708
0.321 0.406 0.208
0.679 0.594 0.792
0.679 0.906 0.292
```

Summary:
space-group type	No. 14
DFT formation energy	-0.19	eV per atom
Fermi-level density of states	1.150	states/eV/atom
E	-7.50	eV per atom


Record 2
## ZrCuPd4 (PBE-GGA)

Data for crystalline ZrCuPd4 at its relaxed geometry.

POSCAR file:
```
ZrCuPd4
1.0
3.404 0.000 0.000
0.000 3.404 0.000
0.000 0.000 8.390
Zr Cu Pd
1 1 4
Direct
0.000 0.000 0.000
0.500 0.500 0.500
0.000 0.000 0.341
0.000 0.000 0.659
0.500 0.500 0.170
0.500 0.500 0.830
```

Summary:
space-group type	No. 123
E above lowest polymorph	46	meV per atom
DFT formation energy	-0.39	eV per atom
Fermi-level density of states	0.453	states/eV/atom
E	-5.96	eV per atom


Record 3
## Zr6CuPd12 (PBE-GGA)

Data for crystalline Zr6CuPd12 at its relaxed geometry.

POSCAR file:
```
Zr6CuPd12
1.0
5.121 2.957 3.717
-5.121 2.957 3.717
0.000 -5.913 3.717
Zr Cu Pd
6 1 12
Direct
0.191 0.353 0.742
0.258 0.809 0.647
0.353 0.742 0.191
0.647 0.258 0.809
0.742 0.191 0.353
0.809 0.647 0.258
0.500 0.500 0.500
0.021 0.709 0.956
0.044 0.979 0.291
0.140 0.462 0.377
0.291 0.044 0.979
0.377 0.140 0.462
0.462 0.377 0.140
0.538 0.623 0.860
0.623 0.860 0.538
0.709 0.956 0.021
0.860 0.538 0.623
0.956 0.021 0.709
0.979 0.291 0.044
```

Summary:
space-group type	No. 148
DFT formation energy	-0.55	eV per atom
Fermi-level density of states	0.507	states/eV/atom
E	-6.75	eV per atom


Record 4
## ZrCu2Pd (PBE-GGA)

Data for crystalline ZrCu2Pd at its relaxed geometry.

POSCAR file:
```
ZrCu2Pd
1.0
4.777 0.000 0.000
0.000 5.407 0.000
-0.760 0.000 4.720
Zr Cu Pd
2 4 2
Direct
0.209 0.250 0.296
0.791 0.750 0.704
0.299 0.000 0.801
0.299 0.500 0.801
0.701 0.000 0.199
0.701 0.500 0.199
0.212 0.750 0.290
0.788 0.250 0.710
```

Summary:
space-group type	No. 11
DFT formation energy	-0.36	eV per atom
Fermi-level density of states	0.438	states/eV/atom
E	-5.84	eV per atom


Record 5
## ZrCu5Pd6 (PBE-GGA)

Data for crystalline ZrCu5Pd6 at its relaxed geometry.

POSCAR file:
```
ZrCu5Pd6
1.0
4.531 0.000 0.000
0.000 5.811 0.000
-1.098 0.000 6.626
Zr Cu Pd
1 5 6
Direct
0.000 0.000 0.000
0.000 0.500 0.000
0.331 0.500 0.672
0.337 0.000 0.667
0.663 0.000 0.333
0.669 0.500 0.328
0.170 0.254 0.339
0.170 0.746 0.339
0.500 0.259 0.000
0.500 0.741 0.000
0.830 0.254 0.661
0.830 0.746 0.661
```

Summary:
space-group type	No. 10
E above lowest polymorph	11	meV per atom
DFT formation energy	-0.31	eV per atom
Fermi-level density of states	0.268	states/eV/atom
E	-5.32	eV per atom


Record 6
## Zr2CuPd4 (PBE-GGA)

Data for crystalline Zr2CuPd4 at its relaxed geometry.

POSCAR file:
```
Zr2CuPd4
1.0
5.140 0.000 0.000
0.000 5.323 0.000
-2.532 0.000 8.810
Zr Cu Pd
4 2 8
Direct
0.124 0.250 0.400
0.329 0.750 0.003
0.671 0.250 0.997
0.876 0.750 0.600
0.021 0.250 0.816
0.979 0.750 0.184
0.199 0.250 0.105
0.308 0.750 0.446
0.375 0.001 0.715
0.375 0.499 0.715
0.625 0.501 0.285
0.625 0.999 0.285
0.692 0.250 0.554
0.801 0.750 0.895
```

Summary:
space-group type	No. 11
E above lowest polymorph	0	meV per atom
DFT formation energy	-0.47	eV per atom
Fermi-level density of states	0.679	states/eV/atom
E	-6.47	eV per atom


Record 7
## ZrCu2Pd2 (PBE-GGA)

Data for crystalline ZrCu2Pd2 at its relaxed geometry.

POSCAR file:
```
ZrCu2Pd2
1.0
4.381 -1.947 0.000
4.381 1.947 0.000
-4.340 0.000 4.491
Zr Cu Pd
1 2 2
Direct
0.000 0.000 0.000
0.191 0.191 0.591
0.809 0.809 0.409
0.411 0.411 0.211
0.589 0.589 0.789
```

Summary:
space-group type	No. 12
E above lowest polymorph	0	meV per atom
DFT formation energy	-0.42	eV per atom
Fermi-level density of states	0.369	states/eV/atom
E	-5.85	eV per atom


Record 8
## Zr2CuPd5 (PBE-GGA)

Data for crystalline Zr2CuPd5 at its relaxed geometry.

POSCAR file:
```
Zr2CuPd5
1.0
1.413 -7.692 0.000
1.413 7.692 0.000
0.000 0.000 13.782
Zr Cu Pd
4 2 10
Direct
0.104 0.896 0.561
0.104 0.896 0.939
0.896 0.104 0.061
0.896 0.104 0.439
0.177 0.823 0.250
0.823 0.177 0.750
0.055 0.945 0.125
0.055 0.945 0.375
0.175 0.825 0.750
0.242 0.758 0.086
0.242 0.758 0.414
0.758 0.242 0.586
0.758 0.242 0.914
0.825 0.175 0.250
0.945 0.055 0.625
0.945 0.055 0.875
```

Summary:
space-group type	No. 63
DFT formation energy	-0.09	eV per atom
Fermi-level density of states	0.398	states/eV/atom
E	-5.99	eV per atom


Record 9
## Zr2CuPd (PBE-GGA)

Data for crystalline Zr2CuPd at its relaxed geometry.

POSCAR file:
```
Zr2CuPd
1.0
3.370 0.000 0.000
0.000 3.370 0.000
0.000 0.000 6.430
Zr Cu Pd
2 1 1
Direct
0.000 0.000 0.244
0.000 0.000 0.756
0.500 0.500 0.000
0.500 0.500 0.500
```

Summary:
space-group type	No. 123
DFT formation energy	-0.36	eV per atom
Fermi-level density of states	1.037	states/eV/atom
E	-6.95	eV per atom


Record 10
## Zr2CuPd4 (PBE-GGA)

Data for crystalline Zr2CuPd4 at its relaxed geometry.

POSCAR file:
```
Zr2CuPd4
1.0
0.000 4.180 5.530
2.746 0.000 5.530
2.746 4.180 0.000
Zr Cu Pd
2 1 4
Direct
0.141 0.141 0.859
0.859 0.859 0.141
0.500 0.500 0.500
0.000 0.000 0.500
0.250 0.250 0.250
0.500 0.500 0.000
0.750 0.750 0.750
```

Summary:
space-group type	No. 69
E above lowest polymorph	139	meV per atom
DFT formation energy	-0.33	eV per atom
Fermi-level density of states	0.812	states/eV/atom
E	-6.33	eV per atom


Q: The lowest E belongs to which entry?
A: Zr6CuPd2


Q: DFT formation energy of number 2 (ZrCuPd4)?
A: -0.39 eV per atom